LaZn2Ag | PBE | relaxed

Calculated values
* VASP energy: -2.74 eV per atom
* SG: Pmmm, No. 47
* DOS at the Fermi energy: 0.8041 states/eV per atom
* total magnetization: 0.2 Bohr magnetons per cell
* DFT formation energy: -156.2 meV per atom

a b c (Å): 3.3002 3.5688 7.1386
angles (deg): 90.00 90.00 90.00
Positions (direct):
La 0.0000 0.0000 0.0000
Zn 0.5000 0.5000 0.3034
Zn 0.5000 0.5000 0.6966
Ag 0.0000 0.0000 0.5000